# 1
The following is a DFT calculation (PBE-GGA) of LaTb2Sm5Y after structural relaxation.

Unit cell a=9.223 b=9.223 c=9.808 alpha=118.05 beta=118.05 gamma=90.00
Atoms (fractional coordinates):
La1 0.250 0.250 0.500
La2 0.750 0.750 0.500
Tb1 0.111 0.389 0.000
Tb2 0.611 0.111 0.000
Tb3 0.389 0.889 0.000
Tb4 0.889 0.611 0.000
Sm1 0.926 0.426 0.260
Sm2 0.666 0.166 0.740
Sm3 0.074 0.574 0.740
Sm4 0.166 0.074 0.740
Sm5 0.574 0.666 0.740
Sm6 0.834 0.926 0.260
Sm7 0.426 0.334 0.260
Sm8 0.334 0.834 0.260
Sm9 0.500 0.500 0.000
Sm10 0.000 0.000 0.000
Y1 0.250 0.750 0.500
Y2 0.750 0.250 0.500

Results
Crystal system: tetragonal
Energy of formation from the pure elements (meV/atom): 283
Space group: No. 140
Calculated volume (Å³ per atom): 34.62
Total magnetization (μB/f.u.): 0.0

# 2
The following is a DFT calculation (PBE-GGA) of PuTh2Al2Ru5 after structural relaxation.

Unit cell a=3.520 b=10.243 c=10.243 alpha=90.00 beta=90.00 gamma=90.00
Site moments in Bohr magnetons follow the coordinates.
Atoms (fractional coordinates):
Pu1 0.000 0.000 0.000  4.53
Pu2 0.000 0.500 0.500  4.53
Th1 0.000 0.673 0.173  0.06
Th2 0.000 0.327 0.827  0.06
Th3 0.000 0.173 0.327  0.06
Th4 0.000 0.827 0.673  0.06
Al1 0.000 0.123 0.623  0.01
Al2 0.000 0.877 0.377  0.01
Al3 0.000 0.623 0.877  0.01
Al4 0.000 0.377 0.123  0.01
Ru1 0.500 0.207 0.071  -0.29
Ru2 0.500 0.793 0.929  -0.29
Ru3 0.500 0.071 0.793  -0.29
Ru4 0.500 0.707 0.429  -0.29
Ru5 0.500 0.929 0.207  -0.29
Ru6 0.500 0.293 0.571  -0.29
Ru7 0.500 0.571 0.707  -0.29
Ru8 0.500 0.429 0.293  -0.29
Ru9 0.500 0.500 0.000  0.00
Ru10 0.500 0.000 0.500  0.00

Results
Crystal system: tetragonal
Energy of formation from the pure elements (meV/atom): -417
Space group: No. 127
Calculated volume (Å³ per atom): 18.46
Total magnetization (μB/f.u.): 3.7

# 3
The following is a DFT calculation (PBE-GGA) of CoSiAs2 after structural relaxation.

Unit cell a=3.710 b=4.890 c=4.889 alpha=52.76 beta=90.00 gamma=90.00
Atoms (fractional coordinates):
As1 0.000 0.079 0.079
As2 0.000 0.421 0.421
Co1 0.500 0.250 0.250
Si1 0.500 0.750 0.750

Results
Crystal system: orthorhombic
Space group: No. 65
Calculated volume (Å³ per atom): 17.65
Total magnetization (μB/f.u.): 0.0
Formation energy without anion corrections (eV per atom): 0.005

# 4
The following is a DFT calculation (PBE-GGA) of Ga2Ag5Au after structural relaxation.

Unit cell a=4.047 b=5.891 c=11.774 alpha=90.00 beta=90.00 gamma=90.00
Atoms (fractional coordinates):
Ga1 0.500 0.235 0.623
Ga2 0.500 0.765 0.377
Ga3 0.500 0.265 0.123
Ga4 0.500 0.735 0.877
Ag1 0.000 0.000 0.000
Ag2 0.000 0.500 0.500
Ag3 0.000 0.483 0.750
Ag4 0.000 0.517 0.250
Ag5 0.000 0.017 0.250
Ag6 0.000 0.983 0.750
Ag7 0.500 0.234 0.872
Ag8 0.500 0.766 0.128
Ag9 0.500 0.266 0.372
Ag10 0.500 0.734 0.628
Au1 0.000 0.000 0.500
Au2 0.000 0.500 0.000

Results
Crystal system: orthorhombic
Energy of formation from the pure elements (meV/atom): -24
Space group: No. 55
Calculated volume (Å³ per atom): 17.54
Total magnetization (μB/f.u.): 0.0

# 5
The following is a DFT calculation (PBE-GGA) of Dy2GaGe2Ru5 after structural relaxation.

Unit cell a=3.332 b=10.004 c=10.004 alpha=90.00 beta=90.00 gamma=90.00
Atoms (fractional coordinates):
Dy1 0.000 0.672 0.172
Dy2 0.000 0.328 0.828
Dy3 0.000 0.172 0.328
Dy4 0.000 0.828 0.672
Ga1 0.000 0.000 0.000
Ga2 0.000 0.500 0.500
Ge1 0.000 0.130 0.630
Ge2 0.000 0.870 0.370
Ge3 0.000 0.630 0.870
Ge4 0.000 0.370 0.130
Ru1 0.500 0.201 0.063
Ru2 0.500 0.799 0.937
Ru3 0.500 0.063 0.799
Ru4 0.500 0.701 0.437
Ru5 0.500 0.937 0.201
Ru6 0.500 0.299 0.563
Ru7 0.500 0.563 0.701
Ru8 0.500 0.437 0.299
Ru9 0.500 0.500 0.000
Ru10 0.500 0.000 0.500

Results
Crystal system: tetragonal
Energy of formation from the pure elements (meV/atom): -432
Space group: No. 127
Calculated volume (Å³ per atom): 16.68
Total magnetization (μB/f.u.): 0.0

# 6
The following is a DFT calculation (PBE-GGA) of LaPr3Y2 after structural relaxation.

Unit cell a=7.336 b=6.353 c=12.191 alpha=110.33 beta=90.00 gamma=125.26
Atoms (fractional coordinates):
La1 0.126 0.000 0.250
La2 0.874 0.000 0.750
Pr1 0.375 0.000 0.750
Pr2 0.625 0.000 0.250
Pr3 0.958 0.666 0.916
Pr4 0.292 0.334 0.584
Pr5 0.708 0.666 0.416
Pr6 0.042 0.334 0.084
Y1 0.210 0.669 0.418
Y2 0.459 0.669 0.918
Y3 0.541 0.331 0.082
Y4 0.790 0.331 0.582

Results
Crystal system: monoclinic
Energy of formation from the pure elements (meV/atom): 12
Space group: No. 15
Calculated volume (Å³ per atom): 34.99
Total magnetization (μB/f.u.): 0.0
Distance to the lowest polymorph of the same formula (eV/atom): 0.005

# 7
The following is a DFT calculation (PBE-GGA) of Cu2ReP after structural relaxation.

Unit cell a=5.089 b=5.089 c=4.036 alpha=66.55 beta=66.55 gamma=32.35
Atoms (fractional coordinates):
Cu1 0.024 0.024 0.976
Cu2 0.476 0.476 0.524
P1 0.750 0.750 0.750
Re1 0.250 0.250 0.250

Results
Crystal system: monoclinic
Energy of formation from the pure elements (meV/atom): 155
Space group: No. 12
Calculated volume (Å³ per atom): 12.72
Total magnetization (μB/f.u.): 0.0

# 8
The following is a DFT calculation (PBE-GGA) of Pa4Si3Pd after structural relaxation.

Unit cell a=4.060 b=3.991 c=10.672 alpha=90.00 beta=90.00 gamma=90.00
Atoms (fractional coordinates):
Pa1 0.500 0.500 0.363
Pa2 0.000 0.500 0.851
Pa3 0.000 0.000 0.150
Pa4 0.500 0.000 0.642
Si1 0.000 0.500 0.577
Si2 0.000 0.000 0.421
Si3 0.500 0.000 0.921
Pd1 0.500 0.500 0.075

Results
Crystal system: orthorhombic
Space group: No. 25
Calculated volume (Å³ per atom): 21.61
Total magnetization (μB/f.u.): 0.0
Formation energy without anion corrections (eV per atom): -0.469

# 9
The following is a DFT calculation (PBE-GGA) of ZnAuN2 after structural relaxation.

Unit cell a=6.413 b=6.413 c=6.413 alpha=27.68 beta=27.68 gamma=27.68
Atoms (fractional coordinates):
Zn1 0.500 0.500 0.500
Au1 0.000 0.000 0.000
N1 0.892 0.892 0.892
N2 0.108 0.108 0.108

Results
Crystal system: trigonal
Space group: No. 166
Calculated volume (Å³ per atom): 12.56
Total magnetization (μB/f.u.): 0.0
Formation energy without anion corrections (eV per atom): 1.090
Distance to the lowest polymorph of the same formula (eV/atom): 0.018

# 10
The following is a DFT calculation (PBE-GGA) of Nd5DySn5 after structural relaxation.

Unit cell a=6.188 b=8.807 c=7.336 alpha=104.53 beta=90.00 gamma=110.57
Atoms (fractional coordinates):
Nd1 0.678 0.356 0.294
Nd2 0.657 0.314 0.788
Nd3 0.000 0.000 0.500
Nd4 0.343 0.686 0.212
Nd5 0.322 0.644 0.706
Dy1 0.000 0.000 0.000
Sn1 0.835 0.670 0.108
Sn2 0.837 0.674 0.643
Sn3 0.500 0.000 0.000
Sn4 0.163 0.326 0.357
Sn5 0.165 0.330 0.892

Results
Crystal system: monoclinic
Energy of formation from the pure elements (meV/atom): -486
Space group: No. 12
Calculated volume (Å³ per atom): 32.79
Total magnetization (μB/f.u.): 0.0

# 11
The following is a DFT calculation (PBE-GGA) of Tb4Hg3Pb after structural relaxation.

Unit cell a=5.334 b=7.493 c=10.669 alpha=90.00 beta=90.00 gamma=90.00
Site moments in Bohr magnetons follow the coordinates.
Atoms (fractional coordinates):
Pb1 0.000 0.500 0.000  -0.01
Pb2 0.000 0.500 0.500  -0.01
Tb1 0.500 0.755 0.000  0.15
Tb2 0.500 0.755 0.500  0.15
Tb3 0.500 0.245 0.000  0.15
Tb4 0.500 0.245 0.500  0.15
Tb5 0.000 0.755 0.750  0.15
Tb6 0.000 0.755 0.250  0.15
Tb7 0.000 0.245 0.250  0.15
Tb8 0.000 0.245 0.750  0.15
Hg1 0.000 0.000 0.000  0.02
Hg2 0.000 0.000 0.500  0.02
Hg3 0.500 0.000 0.750  0.01
Hg4 0.500 0.000 0.250  0.01
Hg5 0.499 0.500 0.750  0.01
Hg6 0.501 0.500 0.250  0.01

Results
Crystal system: tetragonal
Energy of formation from the pure elements (meV/atom): -481
Space group: No. 123
Calculated volume (Å³ per atom): 26.65
Total magnetization (μB/f.u.): 0.9

# 12
The following is a DFT calculation (PBE-GGA) of BeCdP2 after structural relaxation.

Unit cell a=3.693 b=4.184 c=4.184 alpha=90.00 beta=90.00 gamma=90.00
Atoms (fractional coordinates):
P1 0.000 0.000 0.000
P2 0.000 0.500 0.500
Be1 0.500 0.500 0.000
Cd1 0.500 0.000 0.500

Results
Crystal system: tetragonal
Energy of formation from the pure elements (meV/atom): 699
Space group: No. 123
Calculated volume (Å³ per atom): 16.16
Total magnetization (μB/f.u.): 0.0
Distance to the lowest polymorph of the same formula (eV/atom): 0.631